TbPm5Pr3: relaxed, GGA-PBE.

a b c (Å): 11.4161 8.3049 14.0358
angles (deg): 90.00 93.73 90.00
Last column: nearest neighbours and their distance in Å.
Space group C2/m (No. 12)
One atom of each set of equivalent atoms:
Tb  0.0261  0.0000  0.2481  1 Pm 3.27, 3 Pr 3.41-3.57
Pm  0.0000  0.3252  0.0000  1 Pr 2.70, 1 Pm 2.90
Pm  0.0098  0.5000  0.2559  3 Pm 3.36-3.59, 2 Pr 3.60-3.73
Pm  0.2282  0.2167  0.6686  3 Pr 3.38-3.50, 3 Pm 3.59-3.77, 1 Tb 3.67
Pm  0.2437  0.5000  0.8792  1 Tb 3.27, 2 Pr 3.28-3.33, 3 Pm 3.36-3.65
Pr  0.0000  0.0000  0.0000  2 Pm 2.70
Pr  0.0000  0.0000  0.5000  2 Tb 3.57, 4 Pm 3.85
Pr  0.1417  0.5000  0.5064  1 Pr 3.23, 4 Pm 3.38-3.46
Pr  0.2362  0.0000  0.8831  1 Pr 3.25, 4 Pm 3.33-3.60, 1 Tb 3.41

Output
total energy: -4.41 eV per atom
formation energy: 0.333 eV/atom